[1]
An optimized crystal structure of Ba3Cu, computed with GGA-PBE.

## Properties
The value obtained for the energy of formation is 7.96 kJ per mole of atoms. The calculation puts the mass density at 3.91 g/cm³. For the electronic total energy, the calculation gives -2.384 eV per atom.

Cell: 4.478 4.478 11.631 Å, 90.00 90.00 120.00°
Atoms (fractional coordinates):
Ba: 0.000 0.000 0.000
Ba: 0.333 0.667 0.326
Ba: 0.333 0.667 0.674
Cu: 0.000 0.000 0.500

=====

[2]
An optimized crystal structure of PmLuInPd, computed with GGA-PBE.

## Properties
The value obtained for the energy of formation is -55.71 kJ per mole of atoms. The calculation puts the mass density at 9.16 g/cm³. For the electronic total energy, the calculation gives -4.878 eV per atom.

Cell: 5.177 5.177 5.177 Å, 60.00 60.00 60.00°
Atoms (fractional coordinates):
Pm: 0.000 0.000 0.000
Lu: 0.500 0.500 0.500
In: 0.250 0.250 0.250
Pd: 0.750 0.750 0.750

=====

[3]
An optimized crystal structure of LaSmCd, computed with GGA-PBE.

## Properties
The value obtained for the energy of formation is -7.57 kJ per mole of atoms. The calculation puts the mass density at 6.93 g/cm³. For the electronic total energy, the calculation gives -3.599 eV per atom. The value obtained for the energy above the most stable polymorph in this dataset is 121 meV/atom.

Cell: 4.819 4.819 8.295 Å, 90.00 90.00 90.00°
Atoms (fractional coordinates):
La: 0.250 0.750 0.000
La: 0.750 0.250 0.000
Sm: 0.250 0.250 0.361
Sm: 0.750 0.750 0.639
Cd: 0.250 0.250 0.727
Cd: 0.750 0.750 0.273

=====

[4]
An optimized crystal structure of RbZnP2Au, computed with GGA-PBE.

## Properties
The value obtained for the energy of formation is 38.47 kJ per mole of atoms. The calculation puts the mass density at 5.32 g/cm³. For the electronic total energy, the calculation gives -2.869 eV per atom. The value obtained for the energy above the most stable polymorph in this dataset is 0 meV/atom.

Cell: 5.073 5.073 4.973 Å, 90.00 90.00 90.00°
Atoms (fractional coordinates):
Rb: 0.000 0.000 0.000
Zn: 0.500 0.500 0.000
P: 0.000 0.500 0.500
P: 0.500 0.000 0.500
Au: 0.500 0.500 0.500